First-principles (GGA-PBEsol) data for an optimized crystal structure of CoNi5S8, as listed in Alexandria.

Summary:
The space-group type is F-43m. The value obtained for the mass density is 5.08 g/cm3. The final energy comes out at -0.2106 hartree per atom. The calculation puts the magnetic moment at 0.00 μB/cell. The calculation puts the uncorrected formation energy at -474 meV per atom.

Unit cell a=6.553 b=6.553 c=6.553 alpha=60.00 beta=60.00 gamma=60.00
Element x y z (fractional)
Co (0.000, 0.000, 0.000)
Ni (0.375, 0.375, 0.375)
Ni (0.375, 0.375, 0.876)
Ni (0.375, 0.876, 0.375)
Ni (0.750, 0.750, 0.750)
Ni (0.876, 0.375, 0.375)
S (0.132, 0.132, 0.132)
S (0.132, 0.132, 0.605)
S (0.132, 0.605, 0.132)
S (0.150, 0.617, 0.617)
S (0.605, 0.132, 0.132)
S (0.617, 0.150, 0.617)
S (0.617, 0.617, 0.150)
S (0.617, 0.617, 0.617)

---

First-principles (GGA-PBEsol) data for an optimized crystal structure of CoNi2S4, as listed in Alexandria.

Summary:
The space-group type is Fd-3m. The value obtained for the mass density is 5.13 g/cm3. The final energy comes out at -0.2151 hartree per atom. The calculation puts the magnetic moment at 0.00 μB/cell. The calculation puts the uncorrected formation energy at -483 meV per atom.

Unit cell a=6.532 b=6.532 c=6.532 alpha=60.00 beta=60.00 gamma=60.00
Element x y z (fractional)
Co (0.125, 0.125, 0.125)
Co (0.875, 0.875, 0.875)
Ni (0.000, 0.500, 0.500)
Ni (0.500, 0.000, 0.500)
Ni (0.500, 0.500, 0.000)
Ni (0.500, 0.500, 0.500)
S (0.256, 0.256, 0.256)
S (0.256, 0.256, 0.731)
S (0.256, 0.731, 0.256)
S (0.269, 0.744, 0.744)
S (0.731, 0.256, 0.256)
S (0.744, 0.269, 0.744)
S (0.744, 0.744, 0.269)
S (0.744, 0.744, 0.744)

---

First-principles (GGA-PBEsol) data for an optimized crystal structure of CoNi2S4, as listed in Alexandria.

Summary:
The space-group type is Imma. The value obtained for the mass density is 5.12 g/cm3. The final energy comes out at -0.2168 hartree per atom. The calculation puts the magnetic moment at 0.00 μB/cell. The calculation puts the uncorrected formation energy at -530 meV per atom.

Unit cell a=6.535 b=6.535 c=6.535 alpha=120.28 beta=119.70 gamma=90.03
Element x y z (fractional)
Co (0.500, 0.000, 0.000)
Co (0.500, 0.500, 0.500)
Ni (0.000, 0.000, 0.000)
Ni (0.123, 0.373, 0.750)
Ni (0.500, 0.000, 0.500)
Ni (0.877, 0.627, 0.250)
S (0.260, 0.245, 0.485)
S (0.260, 0.776, 0.015)
S (0.264, 0.243, 0.021)
S (0.278, 0.757, 0.521)
S (0.722, 0.243, 0.479)
S (0.736, 0.757, 0.979)
S (0.740, 0.224, 0.985)
S (0.740, 0.755, 0.515)

---

First-principles (GGA-PBEsol) data for an optimized crystal structure of CoNiSb2S2, as listed in Alexandria.

Summary:
The space-group type is P2_1. The value obtained for the mass density is 7.22 g/cm3. The final energy comes out at -0.2100 hartree per atom. The calculation puts the magnetic moment at 0.00 μB/cell. The calculation puts the uncorrected formation energy at -417 meV per atom.

Unit cell a=5.802 b=5.807 c=5.805 alpha=90.00 beta=90.22 gamma=90.00
Element x y z (fractional)
Co (0.019, 0.000, 0.271)
Co (0.981, 0.500, 0.729)
Ni (0.477, 0.958, 0.771)
Ni (0.523, 0.458, 0.229)
Sb (0.127, 0.613, 0.118)
Sb (0.366, 0.350, 0.620)
Sb (0.634, 0.850, 0.380)
Sb (0.873, 0.113, 0.882)
S (0.117, 0.855, 0.624)
S (0.371, 0.099, 0.131)
S (0.629, 0.599, 0.869)
S (0.883, 0.355, 0.376)

---

First-principles (GGA-PBEsol) data for an optimized crystal structure of Co2NiSeS, as listed in Alexandria.

Summary:
The space-group type is P4/mmm. The value obtained for the mass density is 6.88 g/cm3. The final energy comes out at -0.2095 hartree per atom. The calculation puts the magnetic moment at 0.94 μB/cell. The calculation puts the uncorrected formation energy at 272 meV per atom.

Unit cell a=4.099 b=4.099 c=4.130 alpha=90.00 beta=90.00 gamma=90.00
Element x y z (fractional)
Co (0.000, 0.500, 0.000)
Co (0.500, 0.000, 0.000)
Ni (0.000, 0.000, 0.500)
Se (0.500, 0.500, 0.500)
S (0.000, 0.000, 0.000)

---

First-principles (GGA-PBEsol) data for an optimized crystal structure of TlCoNiS2, as listed in Alexandria.

Summary:
The space-group type is I-4m2. The value obtained for the mass density is 7.44 g/cm3. The final energy comes out at -0.1995 hartree per atom. The calculation puts the magnetic moment at 2.18 μB/cell. The calculation puts the uncorrected formation energy at -369 meV per atom.

Unit cell a=7.009 b=7.009 c=7.009 alpha=149.95 beta=149.95 gamma=43.02
Element x y z (fractional)
Tl (0.000, 0.000, 0.000)
Co (0.750, 0.250, 0.500)
Ni (0.250, 0.750, 0.500)
S (0.347, 0.347, 0.000)
S (0.653, 0.653, 0.000)

---

First-principles (GGA-PBEsol) data for an optimized crystal structure of CoNiSb6, as listed in Alexandria.

Summary:
The space-group type is C2/m. The value obtained for the mass density is 7.61 g/cm3. The final energy comes out at -0.1965 hartree per atom. The calculation puts the magnetic moment at 0.00 μB/cell. The calculation puts the uncorrected formation energy at -193 meV per atom.

Unit cell a=7.820 b=7.820 c=9.046 alpha=125.12 beta=125.12 gamma=70.64
Element x y z (fractional)
Co (0.000, 0.500, 0.000)
Co (0.500, 0.000, 0.000)
Ni (0.000, 0.500, 0.500)
Ni (0.500, 0.000, 0.500)
Sb (0.157, 0.838, 0.163)
Sb (0.162, 0.843, 0.837)
Sb (0.174, 0.506, 0.337)
Sb (0.331, 0.331, 0.991)
Sb (0.337, 0.337, 0.677)
Sb (0.494, 0.826, 0.663)
Sb (0.506, 0.174, 0.337)
Sb (0.663, 0.663, 0.323)
Sb (0.669, 0.669, 0.009)
Sb (0.826, 0.494, 0.663)
Sb (0.838, 0.157, 0.163)
Sb (0.843, 0.162, 0.837)

---

First-principles (GGA-PBEsol) data for an optimized crystal structure of Co3NiSb12, as listed in Alexandria.

Summary:
The space-group type is R-3. The value obtained for the mass density is 7.69 g/cm3. The final energy comes out at -0.2008 hartree per atom. The calculation puts the magnetic moment at 0.00 μB/cell. The calculation puts the uncorrected formation energy at -209 meV per atom.

Unit cell a=7.811 b=7.811 c=7.811 alpha=109.50 beta=109.50 gamma=109.50
Element x y z (fractional)
Co (0.000, 0.500, 0.500)
Co (0.500, 0.000, 0.500)
Co (0.500, 0.500, 0.000)
Ni (0.000, 0.000, 0.000)
Sb (0.005, 0.343, 0.167)
Sb (0.167, 0.005, 0.343)
Sb (0.168, 0.328, 0.660)
Sb (0.328, 0.660, 0.168)
Sb (0.340, 0.832, 0.672)
Sb (0.343, 0.167, 0.005)
Sb (0.657, 0.833, 0.995)
Sb (0.660, 0.168, 0.328)
Sb (0.672, 0.340, 0.832)
Sb (0.832, 0.672, 0.340)
Sb (0.833, 0.995, 0.657)
Sb (0.995, 0.657, 0.833)

---

First-principles (GGA-PBEsol) data for an optimized crystal structure of ScCoNi2, as listed in Alexandria.

Summary:
The space-group type is F-43m. The value obtained for the mass density is 7.46 g/cm3. The final energy comes out at -0.2499 hartree per atom. The value obtained for the energy of formation is -0.135 eV per atom. The calculation puts the magnetic moment at 1.33 μB/cell.

Unit cell a=4.114 b=4.114 c=4.114 alpha=60.00 beta=60.00 gamma=60.00
Element x y z (fractional)
Sc (0.000, 0.000, 0.000)
Co (0.250, 0.250, 0.250)
Ni (0.500, 0.500, 0.500)
Ni (0.750, 0.750, 0.750)

---

First-principles (GGA-PBEsol) data for an optimized crystal structure of ScCo2Ni, as listed in Alexandria.

Summary:
The space-group type is P4mm. The value obtained for the mass density is 7.26 g/cm3. The final energy comes out at -0.2621 hartree per atom. The value obtained for the energy of formation is -0.073 eV per atom. The calculation puts the magnetic moment at 2.91 μB/cell.

Unit cell a=3.033 b=3.033 c=5.509 alpha=90.00 beta=90.00 gamma=90.00
Element x y z (fractional)
Sc (0.000, 0.000, 0.000)
Co (0.000, 0.000, 0.496)
Co (0.500, 0.500, 0.298)
Ni (0.500, 0.500, 0.730)

---

First-principles (GGA-PBEsol) data for an optimized crystal structure of ScCo2Ni, as listed in Alexandria.

Summary:
The space-group type is Fm-3m. The value obtained for the mass density is 7.51 g/cm3. The final energy comes out at -0.2605 hartree per atom. The value obtained for the energy of formation is -0.028 eV per atom. The calculation puts the magnetic moment at 2.28 μB/cell.

Unit cell a=4.108 b=4.108 c=4.108 alpha=60.00 beta=60.00 gamma=60.00
Element x y z (fractional)
Sc (0.000, 0.000, 0.000)
Co (0.250, 0.250, 0.250)
Co (0.750, 0.750, 0.750)
Ni (0.500, 0.500, 0.500)

---

First-principles (GGA-PBEsol) data for an optimized crystal structure of ScCoNi, as listed in Alexandria.

Summary:
The space-group type is P-6m2. The value obtained for the mass density is 6.35 g/cm3. The final energy comes out at -0.2586 hartree per atom. The value obtained for the energy of formation is -0.204 eV per atom. The calculation puts the magnetic moment at 0.05 μB/cell.

Unit cell a=3.822 b=3.822 c=3.357 alpha=90.00 beta=90.00 gamma=120.00
Element x y z (fractional)
Sc (0.000, 0.000, 0.000)
Co (0.667, 0.333, 0.500)
Ni (0.333, 0.667, 0.500)